# 1
Compound: UCoH6Rh
Source: Alexandria via LeMat-Bulk
Functional: PBE
Structure: optimized geometry

Output
E (eV per atom): -5.255

a b c (Å): 4.4842 4.4842 4.0970
angles (deg): 90.00 90.00 120.00
Space group P-6m2 (No. 187)
Symmetry-distinct sites (fractional):
U 0.0000 0.0000 0.0000
Co 0.6667 0.3333 0.5000
H 0.5099 0.0198 0.2251
Rh 0.3333 0.6667 0.5000

---

# 2
Compound: VCo2HRh
Source: Alexandria via LeMat-Bulk
Functional: PBE
Structure: optimized geometry

Output
E (eV per atom): -6.969

a b c (Å): 3.6186 3.6186 3.8079
angles (deg): 90.00 90.00 90.00
Space group P4/mmm (No. 123)
Symmetry-distinct sites (fractional):
V 0.0000 0.0000 0.0000
Co 0.0000 0.5000 0.5000
H 0.0000 0.0000 0.5000
Rh 0.5000 0.5000 0.0000